1.
DFT (PBE) results for a geometry-optimized La4Te2AsI structure.

Volume   32.97 Å³/atom
Formation energy without anion corrections   -1.466 eV/atom

abc: 4.496 7.928 7.826
angles: 109.04 90.00 90.00
Sites, in units of the cell vectors:
1 As 0.000 0.000 0.000
2 La 0.000 0.772 0.244
3 Te 0.000 0.500 0.500
4 I 0.500 0.500 0.000
5 Te 0.500 0.000 0.500
6 La 0.000 0.228 0.756
7 La 0.500 0.223 0.230
8 La 0.500 0.777 0.770

2.
DFT (PBE) results for a geometry-optimized ScAs3Pb structure.

Energy of formation from the pure elements   4.0 kJ per mole of atoms
Distance to the lowest polymorph of the same formula   0.0000 eV per atom
Volume   27.00 Å³/atom

abc: 5.130 5.130 5.130
angles: 90.00 90.00 90.00
Sites, in units of the cell vectors:
1 As 0.000 0.500 0.000
2 As 0.000 0.000 0.500
3 Pb 0.500 0.500 0.500
4 As 0.500 0.000 0.000
5 Sc 0.000 0.000 0.000

3.
DFT (PBE) results for a geometry-optimized Ir2Rh structure.

Energy of formation from the pure elements   26.9 kJ per mole of atoms
Distance to the lowest polymorph of the same formula   0.2952 eV per atom
Volume   14.83 Å³/atom

abc: 4.662 4.662 4.662
angles: 138.24 138.24 60.54
Sites, in units of the cell vectors:
1 Ir 0.330 0.330 0.000
2 Rh 0.000 0.000 0.000
3 Ir 0.670 0.670 0.000

4.
DFT (PBE) results for a geometry-optimized HfZr2Pa structure.

Energy of formation from the pure elements   29.0 kJ per mole of atoms
Distance to the lowest polymorph of the same formula   0.2576 eV per atom
Volume   24.04 Å³/atom

abc: 3.074 3.074 11.882
angles: 82.57 82.57 60.00
Sites, in units of the cell vectors:
1 Hf 0.000 0.000 0.000
2 Pa 0.500 0.500 0.500
3 Zr 0.085 0.085 0.746
4 Zr 0.915 0.915 0.254

5.
DFT (PBE) results for a geometry-optimized ZrAg4F10 structure.

Volume   14.21 Å³/atom
Formation energy without anion corrections   -1.922 eV/atom

abc: 5.519 6.800 6.800
angles: 80.52 66.06 66.06
Each line ends with the local moment (μB).
Sites, in units of the cell vectors:
1 F 0.111 0.280 0.954  0.04
2 Ag 0.803 0.608 0.785  0.34
3 F 0.250 0.500 0.500  0.18
4 Ag 0.197 0.392 0.215  0.34
5 F 0.064 0.046 0.280  0.04
6 F 0.750 0.500 0.500  0.18
7 F 0.656 0.280 0.954  0.04
8 F 0.889 0.720 0.046  0.04
9 Zr 0.000 0.000 0.000  0.00
10 F 0.344 0.720 0.046  0.04
11 F 0.936 0.954 0.720  0.04
12 F 0.390 0.954 0.720  0.04
13 F 0.610 0.046 0.280  0.04
14 Ag 0.412 0.785 0.392  0.34
15 Ag 0.588 0.215 0.608  0.34

6.
DFT (PBE) results for a geometry-optimized CuReTc2 structure.

Energy of formation from the pure elements   22.5 kJ per mole of atoms
Distance to the lowest polymorph of the same formula   0.0881 eV per atom
Volume   14.05 Å³/atom

abc: 3.868 3.868 3.756
angles: 90.00 90.00 90.00
Sites, in units of the cell vectors:
1 Re 0.000 0.500 0.500
2 Cu 0.500 0.000 0.500
3 Tc 0.000 0.000 0.000
4 Tc 0.500 0.500 0.000